# 1
Material: Rb2NpMnSe5
Method: DFT, GGA-PBE
State: relaxed

Cell and atoms, written as POSCAR:
```
Rb2NpMnSe5
1.0
-3.478 1.216 2.027
2.951 -8.161 5.597
7.968 8.686 8.465
Rb Np Mn Se
4 2 2 10
Cartesian
5.798 2.151 13.025
5.825 4.049 7.569
2.942 1.009 4.445
0.685 -3.321 7.531
3.176 0.626 9.439
0.685 -2.786 2.846
5.790 7.505 9.799
4.399 -2.767 9.210
0.886 -4.856 4.433
5.831 5.450 11.102
4.602 7.330 7.865
5.928 0.997 9.577
3.367 -1.649 11.131
2.752 2.453 7.616
3.866 -1.247 7.384
3.517 -4.848 8.944
-0.076 -0.987 4.824
0.197 -0.835 0.840
```

Values from the calculation:
Symmetry: Cmc2_1
D(E_F), states/eV/atom: 0.845
Formation energy (no corrections), eV per formula unit: -8.23
Total magnetization, μB per formula unit: 6.00
Crystal system: orthorhombic
Uncorrected energy, Ry per atom: -0.40588

# 2
Material: RbNpMnSe4
Method: DFT, GGA-PBE
State: relaxed

Cell and atoms, written as POSCAR:
```
RbNpMnSe4
1.0
-0.099 4.045 5.386
-6.519 0.890 -0.788
-1.575 -8.993 2.876
Rb Np Mn Se
2 2 2 8
Cartesian
-6.451 -4.808 6.144
-1.742 0.750 1.330
-5.672 -0.264 4.833
-2.521 -3.794 2.641
-5.440 -1.433 1.593
-2.753 -2.625 5.881
-4.452 -5.768 1.748
-0.647 1.287 6.100
-3.742 1.710 5.726
-7.546 -5.346 1.374
-5.212 0.823 2.255
-2.981 -4.882 5.219
-5.850 -2.784 3.461
-2.343 -1.275 4.013
```

Values from the calculation:
Symmetry: P2_1/m
D(E_F), states/eV/atom: 1.070
Formation energy (no corrections), eV per formula unit: -6.46
Total magnetization, μB per formula unit: 7.00
Crystal system: monoclinic
Uncorrected energy, Ry per atom: -0.45649

# 3
Material: Rb4Np3MnTe8
Method: DFT, GGA-PBE
State: relaxed

Cell and atoms, written as POSCAR:
```
Rb4Np3MnTe8
1.0
9.094 0.000 0.000
0.000 9.938 0.598
-4.547 -4.522 6.426
Rb Np Mn Te
4 3 1 8
Cartesian
4.547 0.000 0.000
2.274 -2.261 3.213
0.000 0.000 0.000
-2.274 -2.261 3.213
4.547 4.969 0.299
2.274 2.708 3.512
-2.274 2.708 3.512
0.000 4.969 0.299
-2.353 2.500 6.626
0.000 4.842 3.303
0.000 0.564 3.598
2.353 2.500 6.626
2.194 2.916 0.398
4.547 4.852 3.426
4.547 0.574 3.722
6.900 2.916 0.398
```

Values from the calculation:
Symmetry: C2/m
D(E_F), states/eV/atom: 1.731
Formation energy (no corrections), eV per formula unit: -12.48
Total magnetization, μB per formula unit: 16.00
Crystal system: monoclinic
Uncorrected energy, Ry per atom: -0.41101

# 4
Material: Rb2NpMnTe4
Method: DFT, GGA-PBE
State: relaxed

Cell and atoms, written as POSCAR:
```
Rb2NpMnTe4
1.0
4.429 0.000 0.000
0.000 7.743 0.135
0.000 -2.763 8.406
Rb Np Mn Te
2 1 1 4
Cartesian
2.214 -1.381 4.203
0.000 2.490 4.270
0.000 0.000 0.000
2.214 3.872 0.067
2.214 1.300 1.693
2.214 3.680 6.847
0.000 -0.041 6.940
0.000 5.022 1.601
```

Values from the calculation:
Symmetry: P2/m
D(E_F), states/eV/atom: 1.149
Formation energy (no corrections), eV per formula unit: -5.41
Total magnetization, μB per formula unit: 8.00
Crystal system: monoclinic
Uncorrected energy, Ry per atom: -0.38609

# 5
Material: Rb3NpMn2Te6
Method: DFT, GGA-PBE
State: relaxed

Cell and atoms, written as POSCAR:
```
Rb3NpMn2Te6
1.0
7.424 0.198 -0.001
-3.538 6.529 -0.001
-1.299 -2.250 8.543
Rb Np Mn Te
3 1 2 6
Cartesian
-2.429 4.388 4.270
5.015 0.089 4.270
1.293 2.239 4.270
0.000 0.000 0.000
0.086 4.435 -0.001
3.799 2.291 -0.001
3.904 2.271 6.903
2.509 4.344 1.509
-1.319 2.206 1.637
0.016 4.517 6.903
0.077 0.134 7.031
2.570 -0.040 1.637
```

Values from the calculation:
Symmetry: C2/m
D(E_F), states/eV/atom: 0.518
Formation energy (no corrections), eV per formula unit: -7.04
Total magnetization, μB per formula unit: 5.81
Crystal system: monoclinic
Uncorrected energy, Ry per atom: -0.36795

# 6
Material: Rb2Np2MnTe6
Method: DFT, GGA-PBE
State: relaxed

Cell and atoms, written as POSCAR:
```
Rb2Np2MnTe6
1.0
-7.518 -0.320 0.065
4.017 -6.314 0.797
1.239 3.407 8.375
Rb Np Mn Te
2 2 1 6
Cartesian
-5.558 -1.339 0.189
2.056 -5.295 0.673
0.804 -2.619 4.741
-3.067 -0.608 4.496
0.619 1.704 4.188
-1.763 -2.610 6.408
1.883 -0.099 6.099
-0.500 -0.617 2.829
-1.761 1.795 5.868
-4.146 -3.128 3.138
-0.501 -5.022 3.370
```

Values from the calculation:
Symmetry: C2/m
D(E_F), states/eV/atom: 1.557
Formation energy (no corrections), eV per formula unit: -7.48
Total magnetization, μB per formula unit: 11.00
Crystal system: monoclinic
Uncorrected energy, Ry per atom: -0.42306

# 7
Material: NpUMnRe
Method: DFT, GGA-PBE
State: relaxed

Cell and atoms, written as POSCAR:
```
NpUMnRe
1.0
-3.893 1.983 1.337
-3.177 -2.448 2.189
-0.785 0.727 4.442
Np Re Mn U
1 1 1 1
Cartesian
-1.964 0.065 1.992
-5.891 0.196 5.976
0.000 0.000 0.000
-3.927 0.131 3.984
```

Values from the calculation:
Symmetry: F-43m
D(E_F), states/eV/atom: 2.348
Total magnetization, μB per formula unit: 0.09
Crystal system: cubic
Uncorrected energy, Ry per atom: -0.83454

# 8
Material: NpMn2Rh
Method: DFT, GGA-PBE
State: relaxed

Cell and atoms, written as POSCAR:
```
NpMn2Rh
1.0
4.044 0.000 0.000
0.000 3.960 0.000
0.000 0.000 3.960
Np Mn Rh
1 2 1
Cartesian
2.022 0.000 0.000
0.000 0.000 1.980
0.000 1.980 0.000
2.022 1.980 1.980
```

Values from the calculation:
Symmetry: P4/mmm
D(E_F), states/eV/atom: 1.337
Distance to the lowest polymorph of the same formula, eV per atom: 0.000
Total magnetization, μB per formula unit: 3.45
Crystal system: tetragonal
Uncorrected energy, Ry per atom: -0.71617

Question: The highest uncorrected energy belongs to which entry?
Answer: Rb3NpMn2Te6